*a*
{"formula": "NiRhI", "functional": "GGA-PBE", "state": "relaxed", "lattice_angstrom": [[-8.1974, 2.4501, 2.0123], [-0.4452, -3.3967, 2.3220], [3.1760, 3.3427, 5.4987]], "species": ["Ni", "Ni", "Ni", "Ni", "Rh", "Rh", "Rh", "Rh", "I", "I", "I", "I"], "fractional_positions": [[0.7519, 0.0000, 0.7069], [0.7519, 0.5000, 0.2069], [0.9112, 0.0000, 0.4059], [0.9112, 0.5000, 0.9059], [0.7913, 0.0000, 0.0493], [0.7913, 0.5000, 0.5493], [0.6162, 0.0000, 0.3503], [0.6162, 0.5000, 0.8503], [0.0806, 0.0000, 0.9343], [0.0806, 0.5000, 0.4343], [0.4626, 0.0000, 0.6668], [0.4626, 0.5000, 0.1668]], "space_group": "Cm", "magmom_total_mub_per_fu": 0.00}

*b*
{"formula": "NiRhI", "functional": "GGA-PBE", "state": "relaxed", "lattice_angstrom": [[-7.8789, 3.8884, 0.4872], [-1.8530, -3.7125, -0.3361], [1.2680, -1.2676, 7.0118]], "species": ["Ni", "Ni", "Ni", "Ni", "Rh", "Rh", "Rh", "Rh", "I", "I", "I", "I"], "fractional_positions": [[0.2563, 0.0000, 0.5079], [0.2563, 0.5000, 0.0079], [0.0898, 0.0000, 0.1430], [0.0898, 0.5000, 0.6430], [0.2069, 0.0000, 0.8330], [0.2069, 0.5000, 0.3330], [0.3860, 0.0000, 0.2045], [0.3860, 0.5000, 0.7045], [0.9205, 0.0000, 0.6300], [0.9205, 0.5000, 0.1300], [0.5267, 0.0000, 0.8989], [0.5267, 0.5000, 0.3989]], "space_group": "Cm", "magmom_total_mub_per_fu": 0.00}

Which of them is most stable, and which least? Most stable: *b*; least stable: *a*.

*a*
{"formula": "NiRhI3", "functional": "GGA-PBE", "state": "relaxed", "lattice_angstrom": [[-4.5530, -0.4606, -2.5276], [1.8345, -4.1837, -2.5420], [-1.7988, -3.1008, 3.8053]], "species": ["I", "I", "I", "Ni", "Rh"], "fractional_positions": [[0.0000, 0.5000, 0.0000], [0.0000, 0.0000, 0.5000], [0.5000, 0.0000, 0.0000], [0.0000, 0.0000, 0.0000], [0.5000, 0.5000, 0.5000]], "space_group": "Pm-3m", "magmom_total_mub_per_fu": 0.08}

*b*
{"formula": "NiRhI3", "functional": "GGA-PBE", "state": "relaxed", "lattice_angstrom": [[-2.2935, 3.9145, 2.9307], [-3.2407, 1.2074, -4.1488], [-3.6620, -3.5201, 1.8360]], "species": ["I", "I", "I", "Ni", "Rh"], "fractional_positions": [[0.0000, 0.5000, 0.0000], [0.0000, 0.0000, 0.5000], [0.5000, 0.0000, 0.0000], [0.5000, 0.5000, 0.5000], [0.0000, 0.0000, 0.0000]], "space_group": "Pm-3m", "magmom_total_mub_per_fu": 1.27}

Which of them is most stable, and which least? Most stable: *b*; least stable: *a*.

*a*
{"formula": "Ni2RhI", "functional": "GGA-PBE", "state": "relaxed", "lattice_angstrom": [[0.9282, -3.3119, -2.7061], [-2.2353, -3.7516, 0.2859], [-2.8268, -1.1085, -3.1517]], "species": ["I", "Ni", "Ni", "Rh"], "fractional_positions": [[0.5000, 0.5000, 0.5000], [0.2500, 0.2500, 0.2500], [0.7500, 0.7500, 0.7500], [0.0000, 0.0000, 0.0000]], "space_group": "Fm-3m", "magmom_total_mub_per_fu": 0.00}

*b*
{"formula": "Ni2RhI", "functional": "GGA-PBE", "state": "relaxed", "lattice_angstrom": [[6.9913, 0.0000, 0.0000], [0.0000, 6.9913, 0.0000], [3.4957, 3.4957, 2.5971]], "species": ["I", "I", "Ni", "Ni", "Ni", "Ni", "Rh", "Rh"], "fractional_positions": [[0.0000, 0.0000, 0.0000], [0.7500, 0.2500, 0.5000], [0.6308, 0.1250, 0.2500], [0.1192, 0.6250, 0.2500], [0.3750, 0.3692, 0.7500], [0.8750, 0.8808, 0.7500], [0.5000, 0.5000, 0.0000], [0.2500, 0.7500, 0.5000]], "space_group": "I-42d", "magmom_total_mub_per_fu": 0.00}

Which of them is most stable, and which least? Most stable: *b*; least stable: *a*.